(1)
Tb2SnBr: relaxed, GGA-PBE.

Unit cell a=11.0189 b=11.0189 c=11.0189 alpha=18.55 beta=18.55 gamma=18.55
Fractional positions:
Tb 0.0946 0.0946 0.0946
Tb 0.9054 0.9054 0.9054
Sn 0.0000 0.0000 0.0000
Br 0.5000 0.5000 0.5000

E_form (uncorrected)   -1.82 eV/f.u.
Space-group type   R-3m

(2)
TbSn2Br8: relaxed, GGA-PBE.

Unit cell a=8.0257 b=8.0257 c=7.2646 alpha=99.75 beta=99.75 gamma=93.29
Fractional positions:
Tb 0.0000 0.0000 0.0000
Sn 0.3001 0.3001 0.4575
Sn 0.6999 0.6999 0.5425
Br 0.0176 0.6819 0.7636
Br 0.1658 0.1658 0.7666
Br 0.3181 0.9824 0.2364
Br 0.4667 0.4667 0.2285
Br 0.5333 0.5333 0.7715
Br 0.6819 0.0176 0.7636
Br 0.8342 0.8342 0.2334
Br 0.9824 0.3181 0.2364

E_form (uncorrected)   -11.40 eV/f.u.
Space-group type   C2/m

(3)
TbTlSn2Br8: relaxed, GGA-PBE.

Unit cell a=6.8563 b=7.2451 c=9.1005 alpha=89.88 beta=89.90 gamma=88.85
Fractional positions:
Tb 0.0000 0.0000 0.0000
Tl 0.0000 0.0000 0.5000
Sn 0.5004 0.5003 0.2514
Sn 0.4996 0.4997 0.7486
Br 0.2391 0.3183 0.9994
Br 0.2425 0.8411 0.2192
Br 0.2425 0.8411 0.7807
Br 0.2746 0.3673 0.5011
Br 0.7254 0.6327 0.4989
Br 0.7575 0.1589 0.2193
Br 0.7575 0.1589 0.7808
Br 0.7609 0.6817 0.0006

E_form (uncorrected)   -13.54 eV/f.u.
Space-group type   P-1

(4)
TcSn2Br: relaxed, GGA-PBE.

Unit cell a=7.9367 b=7.9367 c=7.9367 alpha=131.91 beta=131.91 gamma=70.37
Fractional positions:
Tc 0.0000 0.0000 0.0000
Tc 0.7500 0.2500 0.5000
Sn 0.0505 0.6250 0.9255
Sn 0.3750 0.3005 0.4255
Sn 0.6995 0.1250 0.0745
Sn 0.8750 0.9495 0.5745
Br 0.2500 0.7500 0.5000
Br 0.5000 0.5000 0.0000

E_form (uncorrected)   1.99 eV/f.u.
Polymorph energy (0 for the lowest one)   0.0 meV per atom
Space-group type   I-42d

(5)
TcSn3Br: relaxed, GGA-PBE.

Unit cell a=5.1883 b=5.1883 c=5.1883 alpha=90.00 beta=90.00 gamma=90.00
Fractional positions:
Tc 0.0000 0.0000 0.0000
Sn 0.0000 0.0000 0.5000
Sn 0.0000 0.5000 0.0000
Sn 0.5000 0.0000 0.0000
Br 0.5000 0.5000 0.5000

E_form (uncorrected)   -1.05 eV/f.u.
Polymorph energy (0 for the lowest one)   0.0 meV per atom
Space-group type   Pm-3m

(6)
TcSn3Br: relaxed, GGA-PBE.

Unit cell a=5.4694 b=5.4694 c=5.4694 alpha=90.00 beta=90.00 gamma=90.00
Fractional positions:
Tc 0.0000 0.0000 0.0000
Sn 0.0000 0.5000 0.5000
Sn 0.5000 0.0000 0.5000
Sn 0.5000 0.5000 0.0000
Br 0.5000 0.5000 0.5000

E_form (uncorrected)   6.66 eV/f.u.
Polymorph energy (0 for the lowest one)   1543.1 meV per atom
Space-group type   Pm-3m

(7)
TcSnBr3: relaxed, GGA-PBE.

Unit cell a=5.1815 b=5.1815 c=5.1815 alpha=90.00 beta=90.00 gamma=90.00
Fractional positions:
Tc 0.0000 0.0000 0.0000
Sn 0.5000 0.5000 0.5000
Br 0.0000 0.0000 0.5000
Br 0.0000 0.5000 0.0000
Br 0.5000 0.0000 0.0000

E_form (uncorrected)   1.07 eV/f.u.
Polymorph energy (0 for the lowest one)   0.0 meV per atom
Space-group type   Pm-3m

(8)
TcSn2Br: relaxed, GGA-PBE.

Unit cell a=5.1106 b=5.1106 c=5.1106 alpha=60.00 beta=60.00 gamma=60.00
Fractional positions:
Tc 0.0000 0.0000 0.0000
Sn 0.2500 0.2500 0.2500
Sn 0.7500 0.7500 0.7500
Br 0.5000 0.5000 0.5000

E_form (uncorrected)   2.77 eV/f.u.
Polymorph energy (0 for the lowest one)   195.1 meV per atom
Space-group type   Fm-3m

(9)
VTcSnBr2: relaxed, GGA-PBE.

Unit cell a=4.9029 b=4.9029 c=4.8695 alpha=90.00 beta=90.00 gamma=90.00
Fractional positions:
V 0.0000 0.0000 0.0000
Tc 0.0000 0.0000 0.5000
Sn 0.5000 0.5000 0.5000
Br 0.0000 0.5000 0.0000
Br 0.5000 0.0000 0.0000

E_form (uncorrected)   3.31 eV/f.u.
Space-group type   P4/mmm

(10)
Zr2TcSnBr: relaxed, GGA-PBE.

Unit cell a=5.4558 b=5.4558 c=5.3309 alpha=90.00 beta=90.00 gamma=90.00
Fractional positions:
Zr 0.0000 0.5000 0.0000
Zr 0.5000 0.0000 0.0000
Tc 0.0000 0.0000 0.5000
Sn 0.5000 0.5000 0.0000
Br 0.5000 0.5000 0.5000

E_form (uncorrected)   7.84 eV/f.u.
Space-group type   P4/mmm

(11)
SnTeBr2: relaxed, GGA-PBE.

Unit cell a=8.9559 b=8.9559 c=8.9559 alpha=143.41 beta=67.85 gamma=125.04
Fractional positions:
Sn 0.1215 0.2500 0.3715
Sn 0.8785 0.7500 0.6285
Te 0.4000 0.4000 0.0000
Te 0.4000 0.9000 0.5000
Br 0.5000 0.4604 0.5396
Br 0.8392 0.1676 0.1716
Br 0.9208 0.9604 0.4604
Br 0.9960 0.6676 0.8284

E_form (uncorrected)   -1.41 eV/f.u.
Polymorph energy (0 for the lowest one)   0.0 meV per atom
Space-group type   Ima2

(12)
Sn2TeBr2: relaxed, GGA-PBE.

Unit cell a=10.8922 b=10.8922 c=10.8922 alpha=23.55 beta=23.55 gamma=23.55
Fractional positions:
Sn 0.1064 0.1064 0.1064
Sn 0.8936 0.8936 0.8936
Te 0.5000 0.5000 0.5000
Br 0.2780 0.2780 0.2780
Br 0.7220 0.7220 0.7220

E_form (uncorrected)   -2.76 eV/f.u.
Polymorph energy (0 for the lowest one)   0.0 meV per atom
Space-group type   R-3m